(1)
The following is a PBE calculation of a relaxed Cd2In4Hg3 crystal, from the Alexandria database.

Cell lengths 6.2930, 12.8312, 12.8311 Å; angles 28.79, 110.20, 110.20 degrees
Atoms (fractional coordinates):
1 In 0.8735 0.3914 0.1756
2 Cd 0.1818 0.7014 0.5093
3 In 0.3735 0.1756 0.3914
4 Hg 0.5551 0.7175 0.9420
5 In 0.4751 0.9600 0.1586
6 Hg 0.9450 0.0580 0.2825
7 Hg 0.2500 0.3825 0.6175
8 In 0.1265 0.6086 0.8244
9 In 0.5249 0.0400 0.8414
10 In 0.9751 0.1586 0.9600
11 In 0.6265 0.8244 0.6086
12 Cd 0.6818 0.5093 0.7014
13 Hg 0.7500 0.6175 0.3825
14 In 0.0249 0.8414 0.0400
15 Cd 0.3182 0.4907 0.2986
16 Hg 0.0550 0.9420 0.7175
17 Cd 0.8182 0.2986 0.4907
18 Hg 0.4449 0.2825 0.0580

Results
formation energy = 0.022 eV/atom


(2)
The following is a PBE calculation of a relaxed Ac12Sm3Dy crystal, from the Alexandria database.

Cell lengths 5.5127, 5.5127, 21.9943 Å; angles 90.00, 90.00, 90.00 degrees
Atoms (fractional coordinates):
1 Ac 0.5000 0.5000 0.0000
2 Ac 0.0000 0.5000 0.3746
3 Ac 0.5000 0.5000 0.2492
4 Sm 0.0000 0.0000 0.5000
5 Dy 0.0000 0.0000 0.0000
6 Ac 0.5000 0.0000 0.3746
7 Ac 0.5000 0.5000 0.5000
8 Ac 0.5000 0.5000 0.7508
9 Ac 0.5000 0.0000 0.6254
10 Ac 0.5000 0.0000 0.8760
11 Sm 0.0000 0.0000 0.2491
12 Sm 0.0000 0.0000 0.7509
13 Ac 0.5000 0.0000 0.1240
14 Ac 0.0000 0.5000 0.1240
15 Ac 0.0000 0.5000 0.8760
16 Ac 0.0000 0.5000 0.6254

Results
formation energy = 0.030 eV/atom


(3)
The following is a PBE calculation of a relaxed ScInCl2 crystal, from the Alexandria database.

Cell lengths 10.6297, 10.6220, 10.6220 Å; angles 162.00, 162.04, 25.53 degrees
Atoms (fractional coordinates):
1 Cl 0.1080 0.1073 0.0007
2 Cl 0.7578 0.2584 0.4994
3 Sc 0.1963 0.6960 0.5003
4 In 0.4379 0.4384 0.9995

Results
ΔE_f (raw) = -1.13 eV/atom


(4)
The following is a PBE calculation of a relaxed K2YSbO6 crystal, from the Alexandria database.

Cell lengths 6.0224, 6.0224, 6.0253 Å; angles 59.99, 59.99, 89.99 degrees
Each line ends with the local moment (μB).
Atoms (fractional coordinates):
1 O 0.2655 0.2655 0.0002  0.29
2 O 0.2656 0.2656 0.4687  0.29
3 O 0.7345 0.2656 0.0000  0.29
4 K 0.2499 0.7499 0.5000  0.00
5 O 0.7344 0.7344 0.5313  0.29
6 Y 0.0000 0.0000 0.0000  -0.04
7 Sb 0.5000 0.5000 0.0000  -0.03
8 K 0.7501 0.2501 0.5000  0.00
9 O 0.2655 0.7344 0.0000  0.29
10 O 0.7345 0.7345 0.9998  0.29

Results
ΔE_f (raw) = -1.83 eV/atom


(5)
The following is a PBE calculation of a relaxed U2SeN2 crystal, from the Alexandria database.

Cell lengths 3.8399, 3.8399, 6.8584 Å; angles 90.00, 90.00, 120.00 degrees
Each line ends with the local moment (μB).
Atoms (fractional coordinates):
1 Se 0.0000 0.0000 0.0000  -0.07
2 N 0.6667 0.3333 0.3738  -0.10
3 U 0.6667 0.3333 0.7046  1.91
4 U 0.3333 0.6667 0.2954  1.91
5 N 0.3333 0.6667 0.6262  -0.10

Results
ΔE_f (raw) = -1.49 eV/atom


(6)
The following is a PBE calculation of a relaxed NaReBi3 crystal, from the Alexandria database.

Cell lengths 5.3889, 5.3889, 5.3889 Å; angles 90.00, 90.00, 90.00 degrees
Each line ends with the local moment (μB).
Atoms (fractional coordinates):
1 Bi 0.0000 0.0000 0.5000  -0.08
2 Na 0.0000 0.0000 0.0000  0.01
3 Bi 0.0000 0.5000 0.0000  -0.13
4 Re 0.5000 0.5000 0.5000  3.42
5 Bi 0.5000 0.0000 0.0000  -0.12

Results
formation energy = 1.649 eV/atom


(7)
The following is a PBE calculation of a relaxed HoPu2Al crystal, from the Alexandria database.

Cell lengths 3.9599, 3.9599, 6.4712 Å; angles 90.00, 90.00, 90.00 degrees
Each line ends with the local moment (μB).
Atoms (fractional coordinates):
1 Al 0.5000 0.5000 0.0000  -0.02
2 Pu 0.0000 0.0000 0.7763  5.45
3 Ho 0.5000 0.5000 0.5000  0.42
4 Pu 0.0000 0.0000 0.2237  5.45

Results
formation energy = 0.056 eV/atom


(8)
The following is a PBE calculation of a relaxed MgHOF crystal, from the Alexandria database.

Cell lengths 3.1304, 4.6967, 10.2301 Å; angles 90.00, 90.00, 90.00 degrees
Atoms (fractional coordinates):
1 F 0.7500 0.2563 0.7056
2 F 0.7500 0.2437 0.2056
3 H 0.2500 0.0847 0.9316
4 F 0.2500 0.7437 0.2944
5 F 0.2500 0.7563 0.7944
6 O 0.7500 0.7124 0.0493
7 Mg 0.7500 0.9882 0.3682
8 O 0.2500 0.2876 0.9507
9 H 0.2500 0.4153 0.4316
10 Mg 0.7500 0.5118 0.8682
11 O 0.7500 0.7876 0.5493
12 O 0.2500 0.2124 0.4507
13 H 0.7500 0.5847 0.5684
14 H 0.7500 0.9153 0.0684
15 Mg 0.2500 0.4882 0.1318
16 Mg 0.2500 0.0118 0.6318


(9)
The following is a PBE calculation of a relaxed Te4Ir2Br crystal, from the Alexandria database.

Cell lengths 8.3884, 8.3883, 8.2221 Å; angles 118.33, 118.33, 94.01 degrees
Atoms (fractional coordinates):
1 Ir 0.6177 0.3641 0.2576
2 Ir 0.6103 0.8566 0.2425
3 Te 0.3796 0.1985 0.8083
4 Te 0.3901 0.5713 0.1917
5 Te 0.4485 0.1296 0.3083
6 Te 0.8011 0.6071 0.2110
7 Ir 0.6141 0.3677 0.7576
8 Te 0.8213 0.1401 0.6917
9 Br 0.0587 0.0587 0.0000
10 Br 0.3086 0.8086 0.5000
11 Te 0.8571 0.5511 0.7110
12 Ir 0.1066 0.3603 0.7425
13 Te 0.8401 0.1461 0.2889
14 Te 0.3961 0.5901 0.7889

Results
ΔE_f (raw) = -0.17 eV/atom


(10)
The following is a PBE calculation of a relaxed ZrGe2Ir crystal, from the Alexandria database.

Cell lengths 4.5650, 4.5650, 4.5650 Å; angles 60.00, 60.00, 60.00 degrees
Each line ends with the local moment (μB).
Atoms (fractional coordinates):
1 Ge 0.2500 0.2500 0.2500  0.05
2 Ir 0.5000 0.5000 0.5000  0.14
3 Zr 0.0000 0.0000 0.0000  0.55
4 Ge 0.7500 0.7500 0.7500  0.05

Results
formation energy = -0.231 eV/atom


(11)
The following is a PBE calculation of a relaxed YPtW crystal, from the Alexandria database.

Cell lengths 4.4777, 7.2624, 7.6859 Å; angles 90.00, 90.00, 90.00 degrees
Atoms (fractional coordinates):
1 Pt 0.0000 0.7082 0.6883
2 Pt 0.0000 0.2918 0.6883
3 Pt 0.5000 0.7918 0.1883
4 Y 0.0000 0.5000 0.2903
5 Y 0.0000 0.0000 0.4033
6 W 0.0000 0.1688 0.0144
7 Pt 0.5000 0.2082 0.1883
8 Y 0.5000 0.5000 0.9033
9 W 0.5000 0.6688 0.5144
10 W 0.5000 0.3312 0.5144
11 Y 0.5000 0.0000 0.7903
12 W 0.0000 0.8312 0.0144

Results
formation energy = -0.365 eV/atom


(12)
The following is a PBE calculation of a relaxed Cd6Ga2Ag crystal, from the Alexandria database.

Cell lengths 4.6000, 6.6233, 8.0190 Å; angles 114.39, 106.51, 90.00 degrees
Atoms (fractional coordinates):
1 Ag 0.0000 0.0000 0.0000
2 Cd 0.5000 0.2522 0.0000
3 Ga 0.3335 0.3326 0.6653
4 Cd 0.8336 0.0834 0.6663
5 Cd 0.8336 0.5829 0.6663
6 Ga 0.6665 0.6674 0.3347
7 Cd 0.5000 0.7478 0.0000
8 Cd 0.1664 0.9166 0.3337
9 Cd 0.1664 0.4171 0.3337

Results
formation energy = 0.038 eV/atom


no.,spin magnetization (μB per cell),calculated volume (Å³/cell),E_tot (eV/atom)
1,0.0,466.2,-1.499
2,0.0,668.4,-4.224
3,0.0,114.2,-4.323
4,2.0,154.5,-6.083
5,4.0,87.6,-10.036
6,3.7,156.5,-3.433
7,12.1,101.5,-9.190
8,0.0,150.4,-5.380
9,0.0,414.4,-4.737
10,1.0,67.3,-6.892
11,0.0,249.9,-8.851
12,0.0,211.4,-1.561